This record from Alexandria via LeMat-Bulk describes an optimized crystal structure of La2Ti2Pb. The functional is PBE.

Calculated formation energy ... 0.4 kJ per mole of atoms
SG ... No. 127
VASP energy ... -58.661 eV/cell

abc: 7.5138 7.5138 4.7016
angles: 90.00 90.00 90.00
With the nearest neighbours (Å) after each atom.
Fractional coordinates of all 10 atoms:
1 Pb 0.0000 0.0000 0.0000  4 Ti 2.96
2 Pb 0.5000 0.5000 0.0000  4 Ti 2.96
3 Ti 0.3719 0.8719 0.0000  1 Ti 2.72, 2 Pb 2.96
4 Ti 0.8719 0.6281 0.0000  1 Ti 2.72, 2 Pb 2.96
5 Ti 0.6281 0.1281 0.0000  1 Ti 2.72, 2 Pb 2.96
6 Ti 0.1281 0.3719 0.0000  1 Ti 2.72, 2 Pb 2.96
7 La 0.1719 0.6719 0.5000  6 Ti 3.17-3.27
8 La 0.6719 0.8281 0.5000  6 Ti 3.17-3.27
9 La 0.8281 0.3281 0.5000  6 Ti 3.17-3.27
10 La 0.3281 0.1719 0.5000  6 Ti 3.17-3.27

This record from Alexandria via LeMat-Bulk describes an optimized crystal structure of ScTaGeSb2. The functional is PBE.

SG ... No. 123
VASP energy ... -27.168 eV/cell
Formation energy (no corrections) ... 776 meV/atom

abc: 5.2882 4.8079 5.2882
angles: 90.00 90.00 90.00
With the nearest neighbours (Å) after each atom.
Fractional coordinates of all 5 atoms:
1 Sc 0.5000 0.5000 0.5000  8 Sb 3.57, 4 Ta 3.74
2 Sb 0.0000 0.0000 0.5000  2 Ge 2.64
3 Sb 0.5000 0.0000 0.0000  2 Ge 2.64
4 Ge 0.0000 0.0000 0.0000  2 Ta 2.40, 4 Sb 2.64
5 Ta 0.0000 0.5000 0.0000  2 Ge 2.40

Please write out number 2 again, unchanged.
This record from Alexandria via LeMat-Bulk describes an optimized crystal structure of ScTaGeSb2. The functional is PBE.

SG ... No. 123
VASP energy ... -27.168 eV/cell
Formation energy (no corrections) ... 776 meV/atom

abc: 5.2882 4.8079 5.2882
angles: 90.00 90.00 90.00
With the nearest neighbours (Å) after each atom.
Fractional coordinates of all 5 atoms:
1 Sc 0.5000 0.5000 0.5000  8 Sb 3.57, 4 Ta 3.74
2 Sb 0.0000 0.0000 0.5000  2 Ge 2.64
3 Sb 0.5000 0.0000 0.0000  2 Ge 2.64
4 Ge 0.0000 0.0000 0.0000  2 Ta 2.40, 4 Sb 2.64
5 Ta 0.0000 0.5000 0.0000  2 Ge 2.40

Q: Which value of VASP energy does entry 1 give?
A: -58.661 eV/cell

Q: VASP energy of number 2 (ScTaGeSb2)?
A: -27.168 eV/cell

Q: Among the records above, which one has the highest VASP energy?
A: ScTaGeSb2